[1]
Density functional theory data (PBE) for crystalline K2NiTe at its relaxed geometry.

Summary:
uncorrected formation energy: 59 meV per atom

Cell lengths 5.321, 5.321, 7.551 Å; angles 90.00, 90.00, 90.00 degrees
Space group I-4m2 (No. 119)
Unique sites:
K (0.000, 0.000, 0.000) [2 per cell]
K (0.000, 0.500, 0.250) [2 per cell]
Ni (0.000, 0.500, 0.750) [2 per cell]
Te (0.000, 0.000, 0.500) [2 per cell]

[2]
Density functional theory data (PBE) for crystalline Ca2PrRh2 at its relaxed geometry.

Summary:
total DFT energy (no corrections): -5.116 eV/atom

Cell lengths 4.319, 6.290, 9.290 Å; angles 90.00, 90.00, 90.00 degrees
Space group Immm (No. 71)
Unique sites:
Ca (0.000, 0.000, 0.194) [4 per cell]
Pr (0.000, 0.500, 0.000) [2 per cell]
Rh (0.000, 0.287, 0.500) [4 per cell]

[3]
Density functional theory data (PBE) for crystalline IrPdPt2 at its relaxed geometry.

Summary:
energy above the most stable polymorph in this dataset: 426 meV per atom

Cell lengths 7.073, 7.073, 5.401 Å; angles 90.00, 90.00, 90.00 degrees
Space group I-42d (No. 122)
Unique sites:
Ir (0.000, 0.000, 0.000) [4 per cell]
Pd (0.000, 0.000, 0.500) [4 per cell]
Pt (0.237, 0.250, 0.125) [8 per cell]